# 1
An optimized crystal structure of NbCdBi2, computed with GGA-PBE.

Unit cell a=5.226 b=5.226 c=5.226 alpha=60.00 beta=60.00 gamma=60.00
Sites, in units of the cell vectors:
Nb1 0.000 0.000 0.000
Cd1 0.250 0.250 0.250
Bi1 0.500 0.500 0.500
Bi2 0.750 0.750 0.750

Summary:
total magnetic moment	1.92	μB/f.u.
total energy	-4.159	eV per atom

# 2
An optimized crystal structure of Hf5Ge4, computed with GGA-PBE.

Unit cell a=7.043 b=13.470 c=7.126 alpha=90.00 beta=90.00 gamma=90.00
Sites, in units of the cell vectors:
Hf1 0.014 0.095 0.177
Hf2 0.014 0.405 0.177
Hf3 0.146 0.624 0.333
Hf4 0.146 0.876 0.333
Hf5 0.181 0.250 0.498
Hf6 0.319 0.750 0.998
Hf7 0.354 0.124 0.833
Hf8 0.354 0.376 0.833
Hf9 0.486 0.595 0.677
Hf10 0.486 0.905 0.677
Hf11 0.514 0.095 0.323
Hf12 0.514 0.405 0.323
Hf13 0.646 0.624 0.167
Hf14 0.646 0.876 0.167
Hf15 0.681 0.250 0.002
Hf16 0.819 0.750 0.502
Hf17 0.854 0.124 0.667
Hf18 0.854 0.376 0.667
Hf19 0.986 0.595 0.823
Hf20 0.986 0.905 0.823
Ge1 0.053 0.250 0.889
Ge2 0.179 0.750 0.646
Ge3 0.196 0.041 0.535
Ge4 0.196 0.459 0.535
Ge5 0.304 0.541 0.035
Ge6 0.304 0.959 0.035
Ge7 0.321 0.250 0.146
Ge8 0.447 0.750 0.389
Ge9 0.553 0.250 0.611
Ge10 0.679 0.750 0.854
Ge11 0.696 0.041 0.965
Ge12 0.696 0.459 0.965
Ge13 0.804 0.541 0.465
Ge14 0.804 0.959 0.465
Ge15 0.821 0.250 0.354
Ge16 0.947 0.750 0.111

Summary:
total magnetic moment	0.00	μB/f.u.
energy relative to the lowest polymorph listed for this composition	0	meV/atom

# 3
An optimized crystal structure of CsReAuSe2S, computed with GGA-PBE.

Unit cell a=8.395 b=8.395 c=10.001 alpha=90.00 beta=90.00 gamma=153.23
Sites, in units of the cell vectors:
Cs1 0.247 0.753 0.750
Cs2 0.753 0.247 0.250
Re1 0.000 0.000 0.000
Re2 0.000 0.000 0.500
Au1 0.448 0.552 0.250
Au2 0.552 0.448 0.750
Se1 0.393 0.607 0.015
Se2 0.393 0.607 0.485
Se3 0.607 0.393 0.515
Se4 0.607 0.393 0.985
S1 0.052 0.948 0.250
S2 0.948 0.052 0.750

Summary:
total magnetic moment	2.57	μB/f.u.
total energy	-4.726	eV per atom

# 4
An optimized crystal structure of K2PdI2Cl2, computed with GGA-PBE.

Unit cell a=4.403 b=7.596 c=7.604 alpha=90.00 beta=90.00 gamma=90.00
Sites, in units of the cell vectors:
K1 0.000 0.000 0.000
K2 0.000 0.500 0.400
Pd1 0.500 0.500 0.954
I1 0.500 0.260 0.710
I2 0.500 0.740 0.710
Cl1 0.500 0.276 0.175
Cl2 0.500 0.724 0.175

Summary:
total energy	-3.175	eV per atom